[1]
ReIrW2 | PBE-GGA | relaxed

Cell lengths 2.751, 2.751, 8.199 Å; angles 90.00, 90.00, 90.00 degrees
Atoms (fractional coordinates):
Re1 0.000 0.000 0.000
Ir1 0.500 0.500 0.765
W1 0.000 0.000 0.520
W2 0.500 0.500 0.255

Values from the calculation:
**Size of the total moment**: 0.0 μB per formula unit
**Space group**: No. 99
**Energy relative to the elements**: 20.6 kJ/mol of formula units

=====

[2]
Sn2PdPbN | PBE-GGA | relaxed

Cell lengths 5.834, 5.834, 4.136 Å; angles 90.00, 90.00, 90.00 degrees
Atoms (fractional coordinates):
Sn1 0.000 0.500 0.000
Sn2 0.500 0.000 0.000
Pd1 0.000 0.000 0.500
Pb1 0.500 0.500 0.000
N1 0.500 0.500 0.500

Values from the calculation:
**Size of the total moment**: 0.0 μB per formula unit
**Space group**: No. 123
**Uncorrected formation energy**: 1304 meV/atom

=====

[3]
YCrRu2 | PBE-GGA | relaxed

Cell lengths 4.424, 3.149, 4.867 Å; angles 90.00, 97.71, 90.00 degrees
Atoms (fractional coordinates):
Y1 0.000 0.000 0.000
Cr1 0.000 0.500 0.500
Ru1 0.500 0.000 0.500
Ru2 0.500 0.500 0.000

Values from the calculation:
**Size of the total moment**: 2.7 μB per formula unit
**Space group**: No. 10
**Relative energy among the computed polymorphs**: 0.3080 eV/atom
**Energy relative to the elements**: 127.5 kJ/mol of formula units

=====

[4]
HfTc2Br | PBE-GGA | relaxed

Cell lengths 6.469, 6.469, 6.469 Å; angles 90.00, 90.00, 90.00 degrees
Atoms (fractional coordinates):
Hf1 0.000 0.000 0.000
Hf2 0.000 0.500 0.500
Hf3 0.500 0.000 0.500
Hf4 0.500 0.500 0.000
Tc1 0.250 0.250 0.250
Tc2 0.250 0.250 0.750
Tc3 0.250 0.750 0.250
Tc4 0.250 0.750 0.750
Tc5 0.750 0.250 0.250
Tc6 0.750 0.250 0.750
Tc7 0.750 0.750 0.250
Tc8 0.750 0.750 0.750
Br1 0.000 0.000 0.500
Br2 0.000 0.500 0.000
Br3 0.500 0.000 0.000
Br4 0.500 0.500 0.500

Values from the calculation:
**Size of the total moment**: 0.0 μB per formula unit
**Space group**: No. 225
**Relative energy among the computed polymorphs**: 0.0000 eV/atom
**Uncorrected formation energy**: 636 meV/atom

=====

[5]
LaY3Tc | PBE-GGA | relaxed

Cell lengths 5.400, 5.400, 5.400 Å; angles 90.00, 90.00, 90.00 degrees
Atoms (fractional coordinates):
La1 0.000 0.000 0.000
Y1 0.000 0.000 0.500
Y2 0.000 0.500 0.000
Y3 0.500 0.000 0.000
Tc1 0.500 0.500 0.500

Values from the calculation:
**Size of the total moment**: 0.3 μB per formula unit
**Space group**: No. 221
**Relative energy among the computed polymorphs**: 1.4911 eV/atom
**Energy relative to the elements**: 770.5 kJ/mol of formula units

=====

[6]
Ga4Ge2Os | PBE-GGA | relaxed

Cell lengths 4.842, 4.842, 13.446 Å; angles 90.00, 90.00, 90.00 degrees
Atoms (fractional coordinates):
Ga1 0.000 0.000 0.183
Ga2 0.000 0.000 0.817
Ga3 0.000 0.500 0.000
Ga4 0.000 0.500 0.500
Ga5 0.500 0.000 0.000
Ga6 0.500 0.000 0.500
Ga7 0.500 0.500 0.317
Ga8 0.500 0.500 0.683
Ge1 0.000 0.000 0.370
Ge2 0.000 0.000 0.630
Ge3 0.500 0.500 0.130
Ge4 0.500 0.500 0.870
Os1 0.000 0.000 0.000
Os2 0.500 0.500 0.500

Values from the calculation:
**Size of the total moment**: 0.0 μB per formula unit
**Space group**: No. 139
**Energy relative to the elements**: 255.9 kJ/mol of formula units

=====

[7]
Ta5Ru3 | PBE-GGA | relaxed

Cell lengths 6.438, 9.040, 4.520 Å; angles 90.00, 90.00, 90.00 degrees
Atoms (fractional coordinates):
Ta1 0.000 0.000 0.000
Ta2 0.249 0.500 0.500
Ta3 0.250 0.250 0.000
Ta4 0.250 0.750 0.000
Ta5 0.251 0.000 0.500
Ta6 0.500 0.500 0.000
Ta7 0.749 0.000 0.500
Ta8 0.750 0.250 0.000
Ta9 0.750 0.750 0.000
Ta10 0.751 0.500 0.500
Ru1 0.000 0.255 0.500
Ru2 0.000 0.500 0.000
Ru3 0.000 0.745 0.500
Ru4 0.500 0.000 0.000
Ru5 0.500 0.245 0.500
Ru6 0.500 0.755 0.500

Values from the calculation:
**Size of the total moment**: 0.0 μB per formula unit
**Space group**: No. 65
**Relative energy among the computed polymorphs**: 0.0000 eV/atom
**Energy relative to the elements**: -243.2 kJ/mol of formula units

=====

[8]
ZrCu2I6 | PBE-GGA | relaxed

Cell lengths 10.103, 10.103, 7.430 Å; angles 95.29, 95.29, 77.09 degrees
Atoms (fractional coordinates):
Zr1 0.102 0.898 0.750
Zr2 0.898 0.102 0.250
Cu1 0.308 0.448 0.681
Cu2 0.448 0.308 0.181
Cu3 0.552 0.692 0.819
Cu4 0.692 0.552 0.319
I1 0.033 0.174 0.597
I2 0.136 0.635 0.857
I3 0.174 0.033 0.097
I4 0.266 0.466 0.347
I5 0.365 0.864 0.643
I6 0.466 0.266 0.847
I7 0.534 0.734 0.153
I8 0.635 0.136 0.357
I9 0.734 0.534 0.653
I10 0.826 0.967 0.903
I11 0.864 0.365 0.143
I12 0.967 0.826 0.403

Values from the calculation:
**Size of the total moment**: 0.0 μB per formula unit
**Space group**: No. 15
**Relative energy among the computed polymorphs**: 0.0412 eV/atom
**Uncorrected formation energy**: -507 meV/atom